--- a ---
A relaxed CrWSeN2 crystal, computed with PBE.

abc: 3.8936 3.8936 5.3366
angles: 90.00 90.00 90.00
With the nearest neighbours (Å) after each atom.
Fractional coordinates of all 5 atoms:
N  0.0000  0.5000  0.0000  2 W 1.95
N  0.5000  0.0000  0.0000  2 W 1.95
W  0.0000  0.0000  0.0000  4 N 1.95
Cr  0.5000  0.5000  0.5000  4 Se 2.75
Se  0.0000  0.0000  0.5000  2 W 2.67, 4 Cr 2.75

Calculated values
The crystal system is tetragonal. The value obtained for the density of states at the Fermi level is 3.74 states/eV/cell. The symmetry is No. 123.

=====

--- b ---
A relaxed CrWSeN2 crystal, computed with PBE.

abc: 3.7376 3.7376 5.0446
angles: 90.00 90.00 90.00
With the nearest neighbours (Å) after each atom.
Fractional coordinates of all 5 atoms:
N  0.0000  0.5000  0.0000  2 Cr 1.87
N  0.5000  0.0000  0.0000  2 Cr 1.87
Se  0.0000  0.0000  0.5000  2 Cr 2.52, 4 W 2.64
W  0.5000  0.5000  0.5000  4 Se 2.64
Cr  0.0000  0.0000  0.0000  4 N 1.87

Calculated values
The crystal system is tetragonal. The value obtained for the density of states at the Fermi level is 3.16 states/eV/cell. The symmetry is No. 123.

=====

Which is most stable, and by how much? a, by 67.9 kJ/mol of atoms.

=====

--- a ---
A relaxed ZnCrSeN2 crystal, computed with PBE.

abc: 3.6476 3.6476 5.3488
angles: 90.00 90.00 90.00
With the nearest neighbours (Å) after each atom.
Fractional coordinates of all 5 atoms:
N  0.0000  0.5000  0.0000  2 Cr 1.82
N  0.5000  0.0000  0.0000  2 Cr 1.82
Cr  0.0000  0.0000  0.0000  4 N 1.82
Zn  0.5000  0.5000  0.5000  4 Se 2.58
Se  0.0000  0.0000  0.5000  4 Zn 2.58, 2 Cr 2.67

Calculated values
The crystal system is tetragonal. The value obtained for the density of states at the Fermi level is 3.28 states/eV/cell. The symmetry is No. 123.

=====

--- b ---
A relaxed ZnCrSeN2 crystal, computed with PBE.

abc: 3.7426 3.7426 5.3221
angles: 90.00 90.00 90.00
With the nearest neighbours (Å) after each atom.
Fractional coordinates of all 5 atoms:
N  0.0000  0.5000  0.0000  2 Zn 1.87
N  0.5000  0.0000  0.0000  2 Zn 1.87
Se  0.0000  0.0000  0.5000  4 Cr 2.65, 2 Zn 2.66
Cr  0.5000  0.5000  0.5000  4 Se 2.65
Zn  0.0000  0.0000  0.0000  4 N 1.87

Calculated values
The crystal system is tetragonal. The value obtained for the density of states at the Fermi level is 6.23 states/eV/cell. The symmetry is No. 123.

=====

Which is most stable, and by how much? a, by 137.8 kJ/mol of atoms.

=====

--- a ---
A relaxed ZrCrSeN2 crystal, computed with PBE.

abc: 4.0842 4.0842 5.5598
angles: 90.00 90.00 90.00
With the nearest neighbours (Å) after each atom.
Fractional coordinates of all 5 atoms:
N  0.5000  0.0000  0.0000  2 Zr 2.04
N  0.0000  0.5000  0.0000  2 Zr 2.04
Cr  0.5000  0.5000  0.5000  4 Se 2.89
Zr  0.0000  0.0000  0.0000  4 N 2.04
Se  0.0000  0.0000  0.5000  2 Zr 2.78, 4 Cr 2.89

Calculated values
The crystal system is tetragonal. The value obtained for the density of states at the Fermi level is 3.35 states/eV/cell. The symmetry is No. 123.

=====

--- b ---
A relaxed ZrCrSeN2 crystal, computed with PBE.

abc: 3.7764 3.7764 4.8375
angles: 90.00 90.00 90.00
With the nearest neighbours (Å) after each atom.
Fractional coordinates of all 5 atoms:
N  0.5000  0.0000  0.0000  2 Cr 1.89
N  0.0000  0.5000  0.0000  2 Cr 1.89
Se  0.0000  0.0000  0.5000  2 Cr 2.42, 4 Zr 2.67
Cr  0.0000  0.0000  0.0000  4 N 1.89
Zr  0.5000  0.5000  0.5000  4 Se 2.67

Calculated values
The crystal system is tetragonal. The value obtained for the density of states at the Fermi level is 3.62 states/eV/cell. The symmetry is No. 123.

=====

Which is most stable, and by how much? b, by 33.5 kJ/mol of atoms.

=====

--- a ---
A relaxed CrSi3N crystal, computed with PBE.

abc: 3.9453 3.9453 3.9453
angles: 90.00 90.00 90.00
With the nearest neighbours (Å) after each atom.
Fractional coordinates of all 5 atoms:
Si  0.0000  0.5000  0.0000  2 N 1.97
Si  0.5000  0.0000  0.0000  2 N 1.97
Si  0.0000  0.0000  0.5000  2 N 1.97
N  0.0000  0.0000  0.0000  6 Si 1.97
Cr  0.5000  0.5000  0.5000  12 Si 2.79

Calculated values
The crystal system is cubic. The value obtained for the density of states at the Fermi level is 2.09 states/eV/cell. The symmetry is No. 221.

=====

--- b ---
A relaxed CrSi3N crystal, computed with PBE.

abc: 4.4407 4.4407 4.4407
angles: 90.00 90.00 90.00
With the nearest neighbours (Å) after each atom.
Fractional coordinates of all 5 atoms:
Si  0.0000  0.0000  0.5000  2 Cr 2.22
Si  0.5000  0.0000  0.0000  2 Cr 2.22
Si  0.0000  0.5000  0.0000  2 Cr 2.22
Cr  0.0000  0.0000  0.0000  6 Si 2.22
N  0.5000  0.5000  0.5000  12 Si 3.14

Calculated values
The crystal system is cubic. The value obtained for the density of states at the Fermi level is 0.53 states/eV/cell. The symmetry is No. 221.

=====

Which is most stable, and by how much? a, by 60.7 kJ/mol of atoms.

=====

--- a ---
A relaxed Cr2SiN crystal, computed with PBE.

abc: 3.9205 3.9205 3.9205
angles: 60.00 60.00 60.00
With the nearest neighbours (Å) after each atom.
Fractional coordinates of all 4 atoms:
Cr  0.2500  0.2500  0.2500  4 Si 2.40, 4 N 2.40
Cr  0.7500  0.7500  0.7500  4 N 2.40, 4 Si 2.40
Si  0.5000  0.5000  0.5000  8 Cr 2.40
N  0.0000  0.0000  0.0000  8 Cr 2.40

Calculated values
The crystal system is cubic. The value obtained for the density of states at the Fermi level is 2.97 states/eV/cell. The symmetry is No. 225.

=====

--- b ---
A relaxed Cr2SiN crystal, computed with PBE.

abc: 2.8201 2.8201 6.3246
angles: 77.12 77.12 60.00
With the nearest neighbours (Å) after each atom.
Fractional coordinates of all 4 atoms:
Si  0.0000  0.0000  0.0000  6 Cr 2.57, 6 Si 2.82
N  0.5000  0.5000  0.5000  6 Cr 1.94
Cr  0.7754  0.7754  0.6738  3 N 1.94
Cr  0.2246  0.2246  0.3262  3 N 1.94

Calculated values
The crystal system is trigonal. The value obtained for the density of states at the Fermi level is 1.89 states/eV/cell. The symmetry is No. 166.

=====

--- c ---
A relaxed Cr2SiN crystal, computed with PBE.

abc: 6.2317 6.2317 4.9569
angles: 51.05 51.05 90.00
With the nearest neighbours (Å) after each atom.
Fractional coordinates of all 8 atoms:
Cr  0.2276  0.6250  0.2500  2 N 1.90
Cr  0.3750  0.4776  0.7500  2 N 1.90
Cr  0.5224  0.1250  0.2500  2 N 1.90
Cr  0.8750  0.7724  0.7500  2 N 1.90
Si  0.7500  0.2500  0.5000  2 N 2.27, 4 Cr 2.48
Si  0.0000  0.0000  0.0000  2 N 2.27, 4 Cr 2.48
N  0.2500  0.7500  0.5000  4 Cr 1.90
N  0.5000  0.5000  0.0000  4 Cr 1.90

Calculated values
The crystal system is tetragonal. The value obtained for the density of states at the Fermi level is 3.88 states/eV/cell. The symmetry is No. 122.

=====

Which is most stable, and by how much? b, by 31.9 kJ/mol of atoms.

=====

--- a ---
A relaxed CrSiTe2N crystal, computed with PBE.

abc: 5.3460 5.3460 3.5300
angles: 90.00 90.00 90.00
With the nearest neighbours (Å) after each atom.
Fractional coordinates of all 5 atoms:
Cr  0.0000  0.0000  0.0000  2 N 1.76
Te  0.0000  0.5000  0.0000  2 Cr 2.67
Te  0.5000  0.0000  0.0000  2 Cr 2.67
N  0.0000  0.0000  0.5000  2 Cr 1.76
Si  0.5000  0.5000  0.5000  8 Te 3.20, 2 Si 3.53

Calculated values
The crystal system is tetragonal. The value obtained for the density of states at the Fermi level is 2.83 states/eV/cell. The symmetry is No. 123.

=====

--- b ---
A relaxed CrSiTe2N crystal, computed with PBE.

abc: 5.1457 3.7637 5.1457
angles: 90.00 90.00 90.00
With the nearest neighbours (Å) after each atom.
Fractional coordinates of all 5 atoms:
Te  0.0000  0.0000  0.5000  2 N 2.57
Te  0.5000  0.0000  0.0000  2 N 2.57
N  0.0000  0.0000  0.0000  2 Cr 1.88
Si  0.5000  0.5000  0.5000  8 Te 3.19
Cr  0.0000  0.5000  0.0000  2 N 1.88

Calculated values
The crystal system is tetragonal. The value obtained for the density of states at the Fermi level is 2.79 states/eV/cell. The symmetry is No. 123.

=====

Which is most stable, and by how much? a, by 26.1 kJ/mol of atoms.